# 1
TaTeS | PBE | optimized geometry

a = 3.3767 Å, b = 6.9678 Å, c = 6.5586 Å
α = 87.87°, β = 90.00°, γ = 90.00°
Fractional coordinates of all 6 atoms:
S 0.2500 0.7370 0.4130
S 0.7500 0.2630 0.5870
Ta 0.7500 0.5126 0.3092
Ta 0.2500 0.4874 0.6908
Te 0.2500 0.2602 0.0790
Te 0.7500 0.7398 0.9210

Summary:
Formation energy (no corrections) ... -690 meV/atom
D(E_F) ... 0.41 states/eV/atom
Spin magnetization ... 0.00 μB/f.u.
SG ... P2_1/m
Polymorph energy (0 for the lowest one) ... 0.000 eV per atom



# 2
Ta3Te4S2 | PBE | optimized geometry

a = 3.5435 Å, b = 3.5435 Å, c = 22.1021 Å
α = 90.00°, β = 90.00°, γ = 120.00°
Fractional coordinates of all 9 atoms:
Ta 0.6667 0.3333 0.6594
Ta 0.0000 0.0000 0.9771
Ta 0.0000 0.0000 0.3226
Te 0.0000 0.0000 0.5735
Te 0.6667 0.3333 0.2361
Te 0.0000 0.0000 0.7459
Te 0.6667 0.3333 0.4085
S 0.6667 0.3333 0.9090
S 0.6667 0.3333 0.0451

Summary:
Formation energy (no corrections) ... -512 meV/atom
D(E_F) ... 1.24 states/eV/atom
Spin magnetization ... 0.27 μB/f.u.
SG ... P3m1



# 3
Ta2Te3S | PBE | optimized geometry

a = 3.5854 Å, b = 3.5854 Å, c = 28.7570 Å
α = 90.00°, β = 90.00°, γ = 120.00°
Fractional coordinates of all 12 atoms:
Te 0.3333 0.6667 0.0731
Te 0.6667 0.3333 0.6839
Te 0.6667 0.3333 0.8148
Te 0.3333 0.6667 0.9421
Te 0.3333 0.6667 0.4257
Te 0.3333 0.6667 0.5568
Ta 0.3333 0.6667 0.2489
Ta 0.6667 0.3333 0.0075
Ta 0.3333 0.6667 0.7493
Ta 0.6667 0.3333 0.4913
S 0.6667 0.3333 0.1970
S 0.6667 0.3333 0.3008

Summary:
Formation energy (no corrections) ... -461 meV/atom
D(E_F) ... 1.11 states/eV/atom
Spin magnetization ... 0.30 μB/f.u.
SG ... P3m1



# 4
TaTeS2 | PBE | optimized geometry

a = 3.3495 Å, b = 7.2327 Å, c = 7.6083 Å
α = 90.00°, β = 90.00°, γ = 103.45°
Fractional coordinates of all 8 atoms:
Te 0.0708 0.1437 0.7500
Te 0.9292 0.8563 0.2500
S 0.6690 0.3386 0.0679
S 0.6690 0.3386 0.4321
S 0.3310 0.6614 0.9321
S 0.3310 0.6614 0.5679
Ta 0.2592 0.5184 0.2500
Ta 0.7408 0.4816 0.7500

Summary:
Formation energy (no corrections) ... -584 meV/atom
D(E_F) ... 0.43 states/eV/atom
Spin magnetization ... 0.00 μB/f.u.
SG ... Cmcm



# 5
Ta20Te5S3 | PBE | optimized geometry

a = 10.5382 Å, b = 10.6468 Å, c = 10.6468 Å
α = 94.82°, β = 103.34°, γ = 76.66°
Fractional coordinates of all 56 atoms:
Ta 0.0472 0.0711 0.6063
Ta 0.8552 0.7526 0.1422
Ta 0.3308 0.1361 0.6514
Ta 0.3039 0.3549 0.0693
Ta 0.5000 0.0000 0.5000
Ta 0.1961 0.0693 0.3549
Ta 0.8039 0.9307 0.6451
Ta 0.2219 0.5550 0.8728
Ta 0.6692 0.8639 0.3486
Ta 0.7728 0.1860 0.0237
Ta 0.6448 0.1422 0.7526
Ta 0.6961 0.6451 0.9307
Ta 0.8308 0.3486 0.8639
Ta 0.5941 0.3007 0.1892
Ta 0.3552 0.8578 0.2474
Ta 0.9059 0.1892 0.3007
Ta 0.2781 0.8728 0.5550
Ta 0.9729 0.7476 0.9029
Ta 0.5271 0.9029 0.7476
Ta 0.1692 0.6514 0.1361
Ta 0.0941 0.8108 0.6993
Ta 0.1448 0.2474 0.8578
Ta 0.0000 0.5000 0.0000
Ta 0.4729 0.0971 0.2524
Ta 0.4059 0.6993 0.8108
Ta 0.9528 0.9289 0.3937
Ta 0.7219 0.1272 0.4450
Ta 0.2272 0.8140 0.9763
Ta 0.7500 0.9356 0.9356
Ta 0.0094 0.9605 0.1281
Ta 0.0271 0.2524 0.0971
Ta 0.9906 0.0395 0.8719
Ta 0.7272 0.0237 0.1860
Ta 0.7781 0.4450 0.1272
Ta 0.4906 0.1281 0.9605
Ta 0.5472 0.3937 0.9289
Ta 0.2500 0.0644 0.0644
Ta 0.4528 0.6063 0.0711
Ta 0.5094 0.8719 0.0395
Ta 0.2728 0.9763 0.8140
Te 0.7500 0.4034 0.4034
Te 0.4013 0.5070 0.2883
Te 0.2500 0.5966 0.5966
Te 0.0234 0.5125 0.2668
Te 0.9766 0.4875 0.7332
Te 0.4766 0.2668 0.5125
Te 0.0987 0.2883 0.5070
Te 0.5234 0.7332 0.4875
Te 0.9013 0.7117 0.4930
Te 0.5987 0.4930 0.7117
S 0.8409 0.1796 0.6788
S 0.1591 0.8204 0.3212
S 0.7500 0.7585 0.7585
S 0.3409 0.3212 0.8204
S 0.2500 0.2415 0.2415
S 0.6591 0.6788 0.1796

Summary:
Formation energy (no corrections) ... -314 meV/atom
D(E_F) ... 0.50 states/eV/atom
Spin magnetization ... 0.00 μB/f.u.
SG ... C2/c



# 6
TaTe2S | PBE | optimized geometry

a = 6.8479 Å, b = 6.8479 Å, c = 7.2594 Å
α = 61.86°, β = 61.86°, γ = 90.00°
Fractional coordinates of all 8 atoms:
Te 0.3750 0.3479 0.7500
Te 0.0979 0.6250 0.2500
Te 0.6521 0.1250 0.2500
Te 0.8750 0.9021 0.7500
S 0.5000 0.5000 0.0000
S 0.2500 0.7500 0.5000
Ta 0.7500 0.2500 0.5000
Ta 0.0000 0.0000 0.0000

Summary:
Formation energy (no corrections) ... 521 meV/atom
D(E_F) ... 0.97 states/eV/atom
Spin magnetization ... 0.00 μB/f.u.
SG ... I-42d



# 7
Ta3Te4S2 | PBE | optimized geometry

a = 3.5536 Å, b = 3.5536 Å, c = 26.2441 Å
α = 90.00°, β = 90.00°, γ = 120.00°
Fractional coordinates of all 9 atoms:
Ta 0.0000 0.0000 0.2613
Ta 0.6667 0.3333 0.0000
Ta 0.0000 0.0000 0.7387
Te 0.6667 0.3333 0.3339
Te 0.6667 0.3333 0.8108
Te 0.6667 0.3333 0.1892
Te 0.6667 0.3333 0.6661
S 0.0000 0.0000 0.0571
S 0.0000 0.0000 0.9429

Summary:
Formation energy (no corrections) ... -511 meV/atom
D(E_F) ... 1.10 states/eV/atom
Spin magnetization ... 1.20 μB/f.u.
SG ... P-6m2



# 8
Ta4Te2S3 | PBE | optimized geometry

a = 6.1244 Å, b = 9.8312 Å, c = 9.8312 Å
α = 116.78°, β = 95.08°, γ = 95.08°
Fractional coordinates of all 18 atoms:
Ta 0.4544 0.3191 0.3505
Ta 0.9544 0.3505 0.3191
Ta 0.0457 0.6495 0.6809
Ta 0.8951 0.9490 0.8485
Ta 0.6049 0.1515 0.0510
Ta 0.1049 0.0510 0.1515
Ta 0.3951 0.8485 0.9490
Ta 0.5456 0.6809 0.6495
Te 0.8913 0.8172 0.5362
Te 0.1087 0.1828 0.4638
Te 0.6087 0.4638 0.1828
Te 0.3913 0.5362 0.8172
S 0.9988 0.2229 0.0412
S 0.2500 0.5603 0.4397
S 0.0012 0.7771 0.9588
S 0.5012 0.9588 0.7771
S 0.7500 0.4397 0.5603
S 0.4988 0.0412 0.2229

Summary:
Formation energy (no corrections) ... -405 meV/atom
D(E_F) ... 0.49 states/eV/atom
Spin magnetization ... 0.00 μB/f.u.
SG ... C2/c



# 9
TaTeS2 | PBE | optimized geometry

a = 6.6623 Å, b = 6.6623 Å, c = 6.8800 Å
α = 61.04°, β = 61.04°, γ = 90.00°
Fractional coordinates of all 8 atoms:
S 0.7229 0.1250 0.2500
S 0.0271 0.6250 0.2500
S 0.8750 0.9729 0.7500
S 0.3750 0.2771 0.7500
Te 0.2500 0.7500 0.5000
Te 0.5000 0.5000 0.0000
Ta 0.0000 0.0000 0.0000
Ta 0.7500 0.2500 0.5000

Summary:
Formation energy (no corrections) ... 17 meV/atom
D(E_F) ... 1.07 states/eV/atom
Spin magnetization ... 0.00 μB/f.u.
SG ... I-42d



# 10
TaTe2S6 | PBE | optimized geometry

a = 6.2277 Å, b = 9.8976 Å, c = 9.8976 Å
α = 84.34°, β = 66.75°, γ = 66.75°
Fractional coordinates of all 18 atoms:
S 0.5932 0.2996 0.5351
S 0.2480 0.0485 0.6847
S 0.7883 0.1750 0.0520
S 0.7520 0.9515 0.3153
S 0.7480 0.6847 0.0485
S 0.4068 0.7004 0.4649
S 0.9068 0.4649 0.7004
S 0.2520 0.3153 0.9515
S 0.7117 0.9480 0.8250
S 0.2883 0.0520 0.1750
S 0.0932 0.5351 0.2996
S 0.2117 0.8250 0.9480
Te 0.8102 0.5022 0.2228
Te 0.3102 0.2228 0.5022
Te 0.1898 0.4978 0.7772
Te 0.6898 0.7772 0.4978
Ta 0.7500 0.9471 0.0529
Ta 0.2500 0.0529 0.9471

Summary:
Formation energy (no corrections) ... -222 meV/atom
D(E_F) ... 0.15 states/eV/atom
Spin magnetization ... 0.00 μB/f.u.
SG ... C2/c



# 11
TaTeS2 | PBE | optimized geometry

a = 11.0892 Å, b = 11.0892 Å, c = 11.0892 Å
α = 17.22°, β = 17.22°, γ = 17.22°
Fractional coordinates of all 4 atoms:
Te 0.0000 0.0000 0.0000
Ta 0.5000 0.5000 0.5000
S 0.1191 0.1191 0.1191
S 0.8809 0.8809 0.8809

Summary:
Formation energy (no corrections) ... -641 meV/atom
D(E_F) ... 0.62 states/eV/atom
Spin magnetization ... 0.00 μB/f.u.
SG ... R-3m



# 12
TaTeS3 | PBE | optimized geometry

a = 4.9451 Å, b = 4.9451 Å, c = 4.9451 Å
α = 90.00°, β = 90.00°, γ = 90.00°
Fractional coordinates of all 5 atoms:
S 0.0000 0.5000 0.0000
S 0.0000 0.0000 0.5000
S 0.5000 0.0000 0.0000
Ta 0.5000 0.5000 0.5000
Te 0.0000 0.0000 0.0000

Summary:
Formation energy (no corrections) ... 1216 meV/atom
D(E_F) ... 0.90 states/eV/atom
Spin magnetization ... 2.89 μB/f.u.
SG ... Pm-3m
Polymorph energy (0 for the lowest one) ... 1.304 eV per atom



# 13
TaTeS2 | PBE | optimized geometry

a = 9.1019 Å, b = 9.1019 Å, c = 9.1019 Å
α = 21.21°, β = 21.21°, γ = 21.21°
Fractional coordinates of all 4 atoms:
Te 0.5000 0.5000 0.5000
Ta 0.0000 0.0000 0.0000
S 0.0864 0.0864 0.0864
S 0.9136 0.9136 0.9136

Summary:
Formation energy (no corrections) ... 431 meV/atom
D(E_F) ... 0.93 states/eV/atom
Spin magnetization ... 0.00 μB/f.u.
SG ... R-3m



# 14
TaTl2Te2S6 | PBE | optimized geometry

a = 6.8480 Å, b = 8.0956 Å, c = 7.8872 Å
α = 121.81°, β = 90.00°, γ = 115.02°
Fractional coordinates of all 11 atoms:
S 0.3330 0.1705 0.7839
S 0.6795 0.3589 0.5743
S 0.6670 0.8295 0.2161
S 0.3205 0.6411 0.4257
S 0.1625 0.8295 0.2161
S 0.8375 0.1705 0.7839
Te 0.9555 0.9109 0.7372
Te 0.0445 0.0891 0.2628
Tl 0.2702 0.5404 0.7788
Tl 0.7298 0.4596 0.2212
Ta 0.5000 0.0000 0.5000

Summary:
Formation energy (no corrections) ... -296 meV/atom
D(E_F) ... 0.34 states/eV/atom
Spin magnetization ... 0.00 μB/f.u.
SG ... C2/m



# 15
ThTa2S6 | PBE | optimized geometry

a = 4.8486 Å, b = 6.3799 Å, c = 7.7732 Å
α = 71.69°, β = 71.83°, γ = 67.67°
Fractional coordinates of all 9 atoms:
Ta 0.1944 0.6839 0.9274
Ta 0.8056 0.3161 0.0727
S 0.3489 0.7104 0.5919
S 0.7189 0.7004 0.8619
S 0.2811 0.2996 0.1381
S 0.9713 0.8674 0.1900
S 0.0287 0.1326 0.8100
S 0.6511 0.2896 0.4081
Th 0.0000 0.5000 0.5000

Summary:
Formation energy (no corrections) ... -1167 meV/atom
D(E_F) ... 0.31 states/eV/atom
Spin magnetization ... 0.00 μB/f.u.
SG ... C2/m



# 16
ThTaS6 | PBE | optimized geometry

a = 4.9293 Å, b = 5.8527 Å, c = 6.4219 Å
α = 76.75°, β = 90.54°, γ = 77.73°
Fractional coordinates of all 8 atoms:
Ta 0.0000 0.0000 0.0000
S 0.6674 0.9804 0.7236
S 0.3326 0.0196 0.2764
S 0.6308 0.2303 0.1754
S 0.3692 0.7697 0.8246
S 0.0323 0.3695 0.7477
S 0.9677 0.6305 0.2523
Th 0.5000 0.5000 0.5000

Summary:
Formation energy (no corrections) ... -924 meV/atom
D(E_F) ... 0.35 states/eV/atom
Spin magnetization ... 0.00 μB/f.u.
SG ... P-1



# 17
ThTa4S8 | PBE | optimized geometry

a = 6.8561 Å, b = 6.8561 Å, c = 7.7565 Å
α = 90.00°, β = 116.23°, γ = 120.00°
Fractional coordinates of all 13 atoms:
S 0.9942 0.7568 0.2316
S 0.4847 0.7423 0.2270
S 0.0058 0.7626 0.7684
S 0.9942 0.2374 0.2316
S 0.5253 0.7626 0.7684
S 0.0058 0.2432 0.7684
S 0.4747 0.2374 0.2316
S 0.5153 0.2577 0.7730
Ta 0.0000 0.5000 0.0000
Ta 0.5000 0.0000 0.0000
Ta 0.0000 0.0000 0.0000
Ta 0.5000 0.5000 0.0000
Th 0.0000 0.5000 0.5000

Summary:
Formation energy (no corrections) ... -1152 meV/atom
D(E_F) ... 0.40 states/eV/atom
Spin magnetization ... 0.00 μB/f.u.
SG ... R-3m



# 18
ThTaS | PBE | optimized geometry

a = 3.8567 Å, b = 3.8567 Å, c = 9.5922 Å
α = 90.00°, β = 90.00°, γ = 90.00°
Fractional coordinates of all 6 atoms:
S 0.5000 0.0000 0.6096
S 0.0000 0.5000 0.3904
Ta 0.5000 0.5000 0.0000
Ta 0.0000 0.0000 0.0000
Th 0.5000 0.0000 0.2946
Th 0.0000 0.5000 0.7054

Summary:
Formation energy (no corrections) ... -623 meV/atom
D(E_F) ... 1.29 states/eV/atom
Spin magnetization ... 0.00 μB/f.u.
SG ... P4/nmm



# 19
TaTi2S6 | PBE | optimized geometry

a = 3.4004 Å, b = 7.7995 Å, c = 8.3930 Å
α = 112.56°, β = 101.69°, γ = 90.00°
Fractional coordinates of all 9 atoms:
S 0.9942 0.7664 0.9884
S 0.3278 0.4392 0.6555
S 0.3381 0.8955 0.6763
S 0.6722 0.5608 0.3445
S 0.0058 0.2336 0.0116
S 0.6619 0.1045 0.3237
Ti 0.1697 0.3368 0.3394
Ti 0.8303 0.6632 0.6606
Ta 0.5000 0.0000 0.0000

Summary:
Formation energy (no corrections) ... -1210 meV/atom
D(E_F) ... 0.35 states/eV/atom
Spin magnetization ... 0.00 μB/f.u.
SG ... C2/m
Polymorph energy (0 for the lowest one) ... 0.000 eV per atom



# 20
Ta3TiS | PBE | optimized geometry

a = 4.5540 Å, b = 4.5540 Å, c = 4.5540 Å
α = 90.00°, β = 90.00°, γ = 90.00°
Fractional coordinates of all 5 atoms:
Ta 0.0000 0.5000 0.0000
Ta 0.0000 0.0000 0.5000
Ta 0.5000 0.0000 0.0000
Ti 0.5000 0.5000 0.5000
S 0.0000 0.0000 0.0000

Summary:
Formation energy (no corrections) ... 210 meV/atom
D(E_F) ... 1.02 states/eV/atom
Spin magnetization ... 0.00 μB/f.u.
SG ... Pm-3m
Polymorph energy (0 for the lowest one) ... 0.000 eV per atom



# 21
TaTi3S | PBE | optimized geometry

a = 4.4626 Å, b = 4.4626 Å, c = 4.4626 Å
α = 90.00°, β = 90.00°, γ = 90.00°
Fractional coordinates of all 5 atoms:
Ta 0.5000 0.5000 0.5000
Ti 0.5000 0.0000 0.0000
Ti 0.0000 0.0000 0.5000
Ti 0.0000 0.5000 0.0000
S 0.0000 0.0000 0.0000

Summary:
Formation energy (no corrections) ... -262 meV/atom
D(E_F) ... 0.66 states/eV/atom
Spin magnetization ... 0.00 μB/f.u.
SG ... Pm-3m
Polymorph energy (0 for the lowest one) ... 0.274 eV per atom



Uncorrected energy (eV/atom)
-7.06; -6.78; -6.67; -6.40; -9.78; -5.05; -6.78; -7.75; -5.80; -4.99; -6.45; -4.26; -5.38; -4.63; -7.38; -6.43; -7.91; -8.42; -7.03; -9.31; -8.19